1.
The following is a DFT calculation (PBE) of K2CuNi after structural relaxation.

```
4
Lattice="3.562 -2.055 0.000 3.562 2.055 0.000 -2.386 0.000 9.009" Properties=species:S:1:pos:R:3 pbc="T T T"
K 0.000 0.000 0.000
K -0.003 0.000 4.655
Cu 2.372 0.000 2.327
Ni 4.745 0.000 2.328
```

Output
The energy above the most stable polymorph in this dataset comes out at 0 meV/atom. Its symmetry is Cm. The spin magnetization is 0.000 μB per atom.



2.
The following is a DFT calculation (PBE) of MnGeSN after structural relaxation.

```
4
Lattice="7.029 -1.498 0.000 7.029 1.498 0.000 -0.392 0.000 2.692" Properties=species:S:1:pos:R:3 pbc="T T T"
Mn 0.000 0.000 0.000
Ge 4.220 0.000 0.964
S 7.986 0.000 1.512
N 12.487 0.000 1.146
```

Output
The energy above the most stable polymorph in this dataset comes out at 120 meV/atom. Its symmetry is Cm. The calculation puts the formation energy from raw total energies at 0.0 eV/f.u. The spin magnetization is 0.000 μB per atom.



3.
The following is a DFT calculation (PBE) of CaPr2Ge3Pt4 after structural relaxation.

```
10
Lattice="4.353 0.000 0.000 0.000 4.353 0.000 0.000 0.000 11.055" Properties=species:S:1:pos:R:3 pbc="T T T"
Ca 0.000 0.000 0.000
Pr 0.000 2.176 8.031
Pr 2.176 0.000 3.024
Ge 0.000 2.176 4.194
Ge 2.176 0.000 6.861
Ge 2.176 2.176 0.000
Pt 0.000 0.000 5.527
Pt 0.000 2.176 1.739
Pt 2.176 0.000 9.315
Pt 2.176 2.176 5.527
```

Output
Its symmetry is P-4m2. The calculation puts the uncorrected energy at -5.855 eV per atom. The spin magnetization is 0.000 μB per atom.



4.
The following is a DFT calculation (PBE) of TbSmCd after structural relaxation.

```
3
Lattice="-1.833 1.833 6.519 1.833 -1.833 6.519 1.833 1.833 -6.519" Properties=species:S:1:pos:R:3 pbc="T T T"
Tb 0.000 0.000 0.000
Sm 0.000 0.000 4.068
Cd 0.000 0.000 8.496
```

Output
The energy above the most stable polymorph in this dataset comes out at 0 meV/atom. Its symmetry is I4mm. The spin magnetization is 0.186 μB per atom.



Q: Which value of spin magnetization does entry 2 give?
A: 0.000 μB per atom